An optimized crystal structure of NbSbW2. Source: Alexandria, functional GGA-PBE.

Structure (extended XYZ):
```
8
Lattice="3.976 0.000 0.000 0.000 3.976 0.000 1.988 1.988 9.883" Properties=species:S:1:pos:R:3 pbc="T T T"
W 3.124 0.994 2.471
W 4.969 5.111 7.412
W 2.982 2.840 7.412
Sb 0.000 0.000 0.000
Nb 1.988 3.976 4.941
Nb 1.988 1.988 0.000
W 0.852 2.982 2.471
Sb 3.976 1.988 4.941
```

Computed properties:
As for the symmetry: I-42d. The calculation puts the density of states at the Fermi level at 3.54 states/eV/f.u. The value obtained for the final energy is -9.1877 eV/atom. Its crystal system is tetragonal. For the raw formation energy, the calculation gives 837 meV per atom.